(1)
# NaCdMoPt2 (PBE-GGA, optimized geometry)
# **Total magnetic moment**: 4.44 μB per formula unit
# **Total DFT energy (no corrections)**: -17.5 eV/cell
data_NaCdMoPt2
_symmetry_space_group_name_H-M 'P 1'
_symmetry_Int_Tables_number 1
_symmetry_space_group_name_Hall 'P 1'
_cell_length_a 4.715
_cell_length_b 4.760
_cell_length_c 4.715
_cell_angle_alpha 90.00
_cell_angle_beta 90.00
_cell_angle_gamma 90.00
loop_
_atom_site_label
_atom_site_type_symbol
_atom_site_fract_x
_atom_site_fract_y
_atom_site_fract_z
Cd1 Cd 0.500 0.500 0.500
Mo1 Mo 0.000 0.500 0.000
Na1 Na 0.000 0.000 0.000
Pt1 Pt 0.000 0.000 0.500
Pt2 Pt 0.500 0.000 0.000

(2)
# NaCd2MoRu (PBE-GGA, optimized geometry)
# **Total magnetic moment**: 4.56 μB per formula unit
# **Total DFT energy (no corrections)**: -13.6 eV/cell
data_NaCd2MoRu
_symmetry_space_group_name_H-M 'P 1'
_symmetry_Int_Tables_number 1
_symmetry_space_group_name_Hall 'P 1'
_cell_length_a 4.744
_cell_length_b 4.879
_cell_length_c 4.744
_cell_angle_alpha 90.00
_cell_angle_beta 90.00
_cell_angle_gamma 90.00
loop_
_atom_site_label
_atom_site_type_symbol
_atom_site_fract_x
_atom_site_fract_y
_atom_site_fract_z
Ru1 Ru 0.500 0.500 0.500
Cd1 Cd 0.500 0.000 0.000
Mo1 Mo 0.000 0.500 0.000
Na1 Na 0.000 0.000 0.000
Cd2 Cd 0.000 0.000 0.500

(3)
# NaCdMoRu2 (PBE-GGA, optimized geometry)
# **Total magnetic moment**: 0.00 μB per formula unit
# **Total DFT energy (no corrections)**: -26.1 eV/cell
data_NaCdMoRu2
_symmetry_space_group_name_H-M 'P 1'
_symmetry_Int_Tables_number 1
_symmetry_space_group_name_Hall 'P 1'
_cell_length_a 4.656
_cell_length_b 5.412
_cell_length_c 4.656
_cell_angle_alpha 90.00
_cell_angle_beta 90.00
_cell_angle_gamma 90.00
loop_
_atom_site_label
_atom_site_type_symbol
_atom_site_fract_x
_atom_site_fract_y
_atom_site_fract_z
Ru1 Ru 0.500 0.000 0.000
Na1 Na 0.500 0.500 0.500
Ru2 Ru 0.000 0.000 0.500
Mo1 Mo 0.000 0.000 0.000
Cd1 Cd 0.000 0.500 0.000

(4)
# NaCdSiMo2 (PBE-GGA, optimized geometry)
# **Total magnetic moment**: 4.90 μB per formula unit
# **Formation energy (no corrections)**: 2.020 eV/atom
# **Energy above the lowest structure with this stoichiometry**: 0.326 eV per formula unit
data_NaCdSiMo2
_symmetry_space_group_name_H-M 'P 1'
_symmetry_Int_Tables_number 1
_symmetry_space_group_name_Hall 'P 1'
_cell_length_a 5.105
_cell_length_b 4.822
_cell_length_c 5.105
_cell_angle_alpha 90.00
_cell_angle_beta 90.00
_cell_angle_gamma 90.00
loop_
_atom_site_label
_atom_site_type_symbol
_atom_site_fract_x
_atom_site_fract_y
_atom_site_fract_z
Mo1 Mo 0.000 0.000 0.500
Si1 Si 0.500 0.500 0.500
Na1 Na 0.000 0.500 0.000
Mo2 Mo 0.500 0.000 0.000
Cd1 Cd 0.000 0.000 0.000

(5)
# NaCdSiMo2 (PBE-GGA, optimized geometry)
# **Total magnetic moment**: 7.14 μB per formula unit
# **Formation energy (no corrections)**: 1.955 eV/atom
# **Energy above the lowest structure with this stoichiometry**: 0.000 eV per formula unit
data_NaCdSiMo2
_symmetry_space_group_name_H-M 'P 1'
_symmetry_Int_Tables_number 1
_symmetry_space_group_name_Hall 'P 1'
_cell_length_a 5.316
_cell_length_b 4.866
_cell_length_c 5.316
_cell_angle_alpha 90.00
_cell_angle_beta 90.00
_cell_angle_gamma 90.00
loop_
_atom_site_label
_atom_site_type_symbol
_atom_site_fract_x
_atom_site_fract_y
_atom_site_fract_z
Cd1 Cd 0.000 0.000 0.000
Si1 Si 0.000 0.500 0.000
Na1 Na 0.500 0.500 0.500
Mo1 Mo 0.500 0.000 0.000
Mo2 Mo 0.000 0.000 0.500

(6)
# NaZr2CdMo (PBE-GGA, optimized geometry)
# **Total magnetic moment**: 0.00 μB per formula unit
# **Total DFT energy (no corrections)**: -27.2 eV/cell
data_NaZr2CdMo
_symmetry_space_group_name_H-M 'P 1'
_symmetry_Int_Tables_number 1
_symmetry_space_group_name_Hall 'P 1'
_cell_length_a 4.991
_cell_length_b 4.991
_cell_length_c 5.557
_cell_angle_alpha 90.00
_cell_angle_beta 90.00
_cell_angle_gamma 90.00
loop_
_atom_site_label
_atom_site_type_symbol
_atom_site_fract_x
_atom_site_fract_y
_atom_site_fract_z
Na1 Na 0.500 0.500 0.500
Cd1 Cd 0.000 0.000 0.500
Zr1 Zr 0.500 0.000 0.000
Mo1 Mo 0.000 0.000 0.000
Zr2 Zr 0.000 0.500 0.000

(7)
# NbCdMo2 (PBE-GGA, optimized geometry)
# **Total magnetic moment**: 0.00 μB per formula unit
# **Total DFT energy (no corrections)**: -57.7 eV/cell
data_NbCdMo2
_symmetry_space_group_name_H-M 'P 1'
_symmetry_Int_Tables_number 1
_symmetry_space_group_name_Hall 'P 1'
_cell_length_a 7.385
_cell_length_b 7.385
_cell_length_c 5.921
_cell_angle_alpha 51.42
_cell_angle_beta 51.42
_cell_angle_gamma 90.00
loop_
_atom_site_label
_atom_site_type_symbol
_atom_site_fract_x
_atom_site_fract_y
_atom_site_fract_z
Mo1 Mo 0.875 0.851 0.750
Nb1 Nb 0.250 0.750 0.500
Mo2 Mo 0.601 0.125 0.250
Mo3 Mo 0.149 0.625 0.250
Cd1 Cd 0.000 0.000 0.000
Mo4 Mo 0.375 0.399 0.750
Nb2 Nb 0.500 0.500 0.000
Cd2 Cd 0.750 0.250 0.500

(8)
# NbCdMo3 (PBE-GGA, optimized geometry)
# **Total magnetic moment**: 0.00 μB per formula unit
# **Energy above the lowest structure with this stoichiometry**: 0.000 eV per formula unit
data_NbCdMo3
_symmetry_space_group_name_H-M 'P 1'
_symmetry_Int_Tables_number 1
_symmetry_space_group_name_Hall 'P 1'
_cell_length_a 4.775
_cell_length_b 4.775
_cell_length_c 4.775
_cell_angle_alpha 90.00
_cell_angle_beta 90.00
_cell_angle_gamma 90.00
loop_
_atom_site_label
_atom_site_type_symbol
_atom_site_fract_x
_atom_site_fract_y
_atom_site_fract_z
Nb1 Nb 0.000 0.000 0.000
Mo1 Mo 0.500 0.000 0.000
Cd1 Cd 0.500 0.500 0.500
Mo2 Mo 0.000 0.500 0.000
Mo3 Mo 0.000 0.000 0.500

(9)
# NbCd2Mo (PBE-GGA, optimized geometry)
# **Total magnetic moment**: 0.00 μB per formula unit
# **Energy above the lowest structure with this stoichiometry**: 0.966 eV per formula unit
data_NbCd2Mo
_symmetry_space_group_name_H-M 'P 1'
_symmetry_Int_Tables_number 1
_symmetry_space_group_name_Hall 'P 1'
_cell_length_a 7.711
_cell_length_b 7.711
_cell_length_c 6.092
_cell_angle_alpha 50.73
_cell_angle_beta 50.73
_cell_angle_gamma 90.00
loop_
_atom_site_label
_atom_site_type_symbol
_atom_site_fract_x
_atom_site_fract_y
_atom_site_fract_z
Nb1 Nb 0.500 0.500 0.000
Nb2 Nb 0.250 0.750 0.500
Mo1 Mo 0.000 0.000 0.000
Cd1 Cd 0.633 0.125 0.250
Cd2 Cd 0.875 0.883 0.750
Cd3 Cd 0.117 0.625 0.250
Mo2 Mo 0.750 0.250 0.500
Cd4 Cd 0.375 0.367 0.750

(10)
# NbCd2Mo (PBE-GGA, optimized geometry)
# **Total magnetic moment**: 0.00 μB per formula unit
# **Energy above the lowest structure with this stoichiometry**: 0.000 eV per formula unit
data_NbCd2Mo
_symmetry_space_group_name_H-M 'P 1'
_symmetry_Int_Tables_number 1
_symmetry_space_group_name_Hall 'P 1'
_cell_length_a 4.715
_cell_length_b 4.715
_cell_length_c 4.715
_cell_angle_alpha 60.00
_cell_angle_beta 60.00
_cell_angle_gamma 60.00
loop_
_atom_site_label
_atom_site_type_symbol
_atom_site_fract_x
_atom_site_fract_y
_atom_site_fract_z
Nb1 Nb 0.000 0.000 0.000
Cd1 Cd 0.750 0.750 0.750
Mo1 Mo 0.500 0.500 0.500
Cd2 Cd 0.250 0.250 0.250

(11)
# NbCdMo3 (PBE-GGA, optimized geometry)
# **Total magnetic moment**: 0.00 μB per formula unit
# **Energy above the lowest structure with this stoichiometry**: 4.161 eV per formula unit
data_NbCdMo3
_symmetry_space_group_name_H-M 'P 1'
_symmetry_Int_Tables_number 1
_symmetry_space_group_name_Hall 'P 1'
_cell_length_a 4.797
_cell_length_b 4.797
_cell_length_c 4.797
_cell_angle_alpha 90.00
_cell_angle_beta 90.00
_cell_angle_gamma 90.00
loop_
_atom_site_label
_atom_site_type_symbol
_atom_site_fract_x
_atom_site_fract_y
_atom_site_fract_z
Mo1 Mo 0.000 0.500 0.000
Nb1 Nb 0.500 0.500 0.500
Mo2 Mo 0.500 0.000 0.000
Mo3 Mo 0.000 0.000 0.500
Cd1 Cd 0.000 0.000 0.000

(12)
# NbCd3Mo (PBE-GGA, optimized geometry)
# **Total magnetic moment**: 1.89 μB per formula unit
# **Total DFT energy (no corrections)**: -15.1 eV/cell
data_NbCd3Mo
_symmetry_space_group_name_H-M 'P 1'
_symmetry_Int_Tables_number 1
_symmetry_space_group_name_Hall 'P 1'
_cell_length_a 5.384
_cell_length_b 5.384
_cell_length_c 5.384
_cell_angle_alpha 90.00
_cell_angle_beta 90.00
_cell_angle_gamma 90.00
loop_
_atom_site_label
_atom_site_type_symbol
_atom_site_fract_x
_atom_site_fract_y
_atom_site_fract_z
Cd1 Cd 0.500 0.000 0.000
Cd2 Cd 0.000 0.000 0.500
Nb1 Nb 0.000 0.000 0.000
Cd3 Cd 0.000 0.500 0.000
Mo1 Mo 0.500 0.500 0.500

Number 1: density of states at the Fermi level 2.42 states/eV/f.u.. Number 2: density of states at the Fermi level 2.58 states/eV/f.u.. Number 3: density of states at the Fermi level 4.87 states/eV/f.u.. Number 4: density of states at the Fermi level 3.79 states/eV/f.u.. Number 5: density of states at the Fermi level 3.68 states/eV/f.u.. Number 6: density of states at the Fermi level 3.11 states/eV/f.u.. Number 7: density of states at the Fermi level 4.05 states/eV/f.u.. Number 8: density of states at the Fermi level 7.16 states/eV/f.u.. Number 9: density of states at the Fermi level 5.37 states/eV/f.u.. Number 10: density of states at the Fermi level 3.43 states/eV/f.u.. Number 11: density of states at the Fermi level 8.11 states/eV/f.u.. Number 12: density of states at the Fermi level 3.58 states/eV/f.u..